AlAgW2: relaxed, PBE-GGA.

Calculated values
The value obtained for the formation energy is 0.354 eV per atom. The calculated volume is 65 Å³ per cell.

Unit cell a=5.074 b=5.074 c=5.074 alpha=141.00 beta=126.86 gamma=67.85
Atoms (fractional coordinates):
Ag: 0.491 0.491 0.000
W: 0.995 0.995 0.000
W: 0.761 0.261 0.500
Al: 0.253 0.753 0.500

AlAgW2: relaxed, PBE-GGA.

Calculated values
The value obtained for the formation energy is 0.280 eV per atom. The calculated volume is 131 Å³ per cell.

Unit cell a=6.227 b=3.348 c=6.965 alpha=90.00 beta=115.85 gamma=90.00
Atoms (fractional coordinates):
Ag: 0.352 0.000 0.672
Ag: 0.244 0.500 0.938
W: 0.834 0.000 0.662
W: 0.962 0.500 0.423
W: 0.071 0.000 0.184
W: 0.754 0.500 0.927
Al: 0.600 0.000 0.174
Al: 0.465 0.500 0.428